## A
A PBEsol-optimized structure of Sc2BeCd, computed with SCAN.

a b c (Å): 3.222 3.222 6.983
angles (deg): 90.00 90.00 90.00
Space group P4/mmm (No. 123)
Inequivalent atoms, fractional coordinates:
Sc 0.000 0.000 0.214
Be 0.500 0.500 0.000
Cd 0.500 0.500 0.500

Output
Size of the total moment in μB/atom: 0.00
Calculated density in kg/m³: 4841



## B
A PBEsol-optimized structure of Sc2BeCd, computed with SCAN.

a b c (Å): 10.885 3.180 4.741
angles (deg): 90.00 115.74 90.00
Space group Cm (No. 8)
Inequivalent atoms, fractional coordinates:
Sc 0.000 0.000 0.000
Sc 0.211 0.000 0.711
Be 0.233 0.500 0.233
Cd 0.427 0.000 0.427

Output
Size of the total moment in μB/atom: 0.22
Calculated density in kg/m³: 4748



It turns out A is the most stable, with the second structure 13.1 kJ/mol of atoms higher.



## A
A PBEsol-optimized structure of Be2CdSe, computed with SCAN.

a b c (Å): 3.346 3.360 6.074
angles (deg): 90.00 90.00 90.00
Space group Pmmm (No. 47)
Inequivalent atoms, fractional coordinates:
Be 0.000 0.000 0.000
Be 0.000 0.500 0.500
Cd 0.500 0.000 0.500
Se 0.500 0.500 0.000

Output
Size of the total moment in μB/atom: 0.00
Calculated density in kg/m³: 5091



## B
A PBEsol-optimized structure of Be2CdSe, computed with SCAN.

a b c (Å): 6.381 6.381 6.381
angles (deg): 90.00 90.00 90.00
Space group F-43m (No. 216)
Inequivalent atoms, fractional coordinates:
Be 0.000 0.000 0.000
Be 0.250 0.250 0.250
Cd 0.250 0.250 0.750
Se 0.000 0.000 0.500

Output
Size of the total moment in μB/atom: 0.00
Calculated density in kg/m³: 5353



It turns out A is the most stable, with the second structure 46.4 kJ/mol of atoms higher.



## A
A PBEsol-optimized structure of BeCdSe2, computed with SCAN.

a b c (Å): 3.174 3.174 7.189
angles (deg): 90.00 90.00 90.00
Space group P4/mmm (No. 123)
Inequivalent atoms, fractional coordinates:
Be 0.000 0.000 0.000
Cd 0.000 0.000 0.500
Se 0.500 0.500 0.191

Output
Size of the total moment in μB/atom: 0.00
Calculated density in kg/m³: 6405



## B
A PBEsol-optimized structure of BeCdSe2, computed with SCAN.

a b c (Å): 5.680 5.680 10.743
angles (deg): 90.00 90.00 90.00
Space group I-42d (No. 122)
Inequivalent atoms, fractional coordinates:
Be 0.000 0.000 0.000
Cd 0.000 0.000 0.500
Se 0.191 0.250 0.125

Output
Size of the total moment in μB/atom: 0.00
Calculated density in kg/m³: 5354



It turns out B is the most stable, with the second structure 105.5 kJ/mol of atoms higher.